A.
Below is an optimized crystal structure of CdTePtO, with properties calculated at the PBE level.

Structure (CIF):
```
data_CdTePtO
_chemical_formula_sum 'Cd2 Te2 Pt2 O2'
_symmetry_space_group_name_H-M 'P 4/n m m'
_symmetry_Int_Tables_number 129
_cell_length_a 3.699
_cell_length_b 3.699
_cell_length_c 11.649
_cell_angle_alpha 90.00
_cell_angle_beta 90.00
_cell_angle_gamma 90.00
loop_
_symmetry_equiv_pos_as_xyz
'x,y,z'
'-x,-y,-z'
'-y+1/2,x,z'
'y+1/2,-x,-z'
'-x+1/2,-y+1/2,z'
'x+1/2,y+1/2,-z'
'y,-x+1/2,z'
'-y,x+1/2,-z'
'x+1/2,-y,-z'
'-x+1/2,y,z'
'-y,-x,-z'
'y,x,z'
'-x,y+1/2,-z'
'x,-y+1/2,z'
'y+1/2,x+1/2,-z'
'-y+1/2,-x+1/2,z'
loop_
_atom_site_label
_atom_site_fract_x
_atom_site_fract_y
_atom_site_fract_z
Cd1 0.250 0.250 0.096
Te1 0.250 0.250 0.674
Pt1 0.250 0.750 0.500
O1 0.250 0.250 0.905
```

=====

B.
Below is an optimized crystal structure of CdTePtO, with properties calculated at the PBE level.

Structure (CIF):
```
data_CdTePtO
_chemical_formula_sum 'Cd4 Te4 Pt4 O4'
_symmetry_space_group_name_H-M 'P 21 21 21'
_symmetry_Int_Tables_number 19
_symmetry_space_group_name_Hall 'P 2ac 2ab'
_cell_length_a 5.820
_cell_length_b 6.773
_cell_length_c 8.248
_cell_angle_alpha 90.00
_cell_angle_beta 90.00
_cell_angle_gamma 90.00
loop_
_atom_site_label
_atom_site_fract_x
_atom_site_fract_y
_atom_site_fract_z
Cd1 0.036 0.213 0.376
Te1 0.246 0.360 0.078
Pt1 0.023 0.915 0.753
O1 0.148 0.174 0.645
```

=====

Sorted by energy, starting with the most stable: B, A.

=====

A.
Below is an optimized crystal structure of NaLuFeMo, with properties calculated at the PBE level.

Structure (CIF):
```
data_NaLuFeMo
_chemical_formula_sum 'Na4 Lu4 Fe4 Mo4'
_symmetry_space_group_name_H-M 'F -4 3 m'
_symmetry_Int_Tables_number 216
_symmetry_space_group_name_Hall 'F -4 2 3'
_cell_length_a 6.479
_cell_length_b 6.479
_cell_length_c 6.479
_cell_angle_alpha 90.00
_cell_angle_beta 90.00
_cell_angle_gamma 90.00
loop_
_atom_site_label
_atom_site_fract_x
_atom_site_fract_y
_atom_site_fract_z
Na1 0.000 0.000 0.000
Lu1 0.250 0.250 0.250
Fe1 0.000 0.000 0.500
Mo1 0.250 0.250 0.750
```

=====

B.
Below is an optimized crystal structure of NaLuFeMo, with properties calculated at the PBE level.

Structure (CIF):
```
data_NaLuFeMo
_chemical_formula_sum 'Na4 Lu4 Fe4 Mo4'
_symmetry_space_group_name_H-M 'F -4 3 m'
_symmetry_Int_Tables_number 216
_symmetry_space_group_name_Hall 'F -4 2 3'
_cell_length_a 6.783
_cell_length_b 6.783
_cell_length_c 6.783
_cell_angle_alpha 90.00
_cell_angle_beta 90.00
_cell_angle_gamma 90.00
loop_
_atom_site_label
_atom_site_fract_x
_atom_site_fract_y
_atom_site_fract_z
Na1 0.000 0.000 0.000
Lu1 0.000 0.000 0.500
Fe1 0.250 0.250 0.250
Mo1 0.250 0.250 0.750
```

=====

Sorted by energy, starting with the most stable: A, B.